[1]
Ac2TbZn3Pd4 after structural relaxation, computed with PBE.

abc: 4.465 4.465 11.207
angles: 90.00 90.00 90.00
Fractional coordinates of all 10 atoms:
Ac (0.000, 0.500, 0.222)
Ac (0.500, 0.000, 0.778)
Tb (0.000, 0.000, 0.500)
Zn (0.000, 0.500, 0.886)
Zn (0.500, 0.000, 0.114)
Zn (0.500, 0.500, 0.500)
Pd (0.000, 0.000, 0.000)
Pd (0.000, 0.500, 0.655)
Pd (0.500, 0.000, 0.345)
Pd (0.500, 0.500, 0.000)

Values from the calculation:
Energy, eV/atom: -4.40
Total moment, μB per cell: 0.000
Calculated volume, Å³/atom: 22.3
Space group: P-4m2

=====

[2]
Ac2TbZnPd6 after structural relaxation, computed with PBE.

abc: 5.841 5.841 9.109
angles: 108.75 108.75 60.00
Fractional coordinates of all 10 atoms:
Ac (0.213, 0.213, 0.139)
Ac (0.787, 0.787, 0.861)
Tb (0.000, 0.000, 0.500)
Zn (0.500, 0.500, 0.000)
Pd (0.242, 0.743, 0.228)
Pd (0.257, 0.257, 0.772)
Pd (0.257, 0.758, 0.772)
Pd (0.743, 0.242, 0.228)
Pd (0.743, 0.743, 0.228)
Pd (0.758, 0.257, 0.772)

Values from the calculation:
Energy, eV/atom: -5.13
Total moment, μB per cell: 0.000
Calculated volume, Å³/atom: 25.0
Space group: C2/m

=====

[3]
AcTbZnPd after structural relaxation, computed with PBE.

abc: 5.257 5.257 5.257
angles: 60.00 60.00 60.00
Fractional coordinates of all 4 atoms:
Ac (0.000, 0.000, 0.000)
Tb (0.500, 0.500, 0.500)
Zn (0.250, 0.250, 0.250)
Pd (0.750, 0.750, 0.750)

Values from the calculation:
Energy, eV/atom: -4.27
Total moment, μB per cell: 0.000
Calculated volume, Å³/atom: 25.7
Space group: F-43m

=====

[4]
Ac8TcPd2 after structural relaxation, computed with PBE.

abc: 7.929 7.929 7.902
angles: 91.00 91.00 58.64
Fractional coordinates of all 11 atoms:
Ac (0.205, 0.205, 0.598)
Ac (0.205, 0.714, 0.748)
Ac (0.286, 0.795, 0.252)
Ac (0.294, 0.294, 0.104)
Ac (0.706, 0.706, 0.896)
Ac (0.714, 0.205, 0.748)
Ac (0.795, 0.286, 0.252)
Ac (0.795, 0.795, 0.402)
Tc (0.500, 0.500, 0.000)
Pd (0.398, 0.398, 0.443)
Pd (0.602, 0.602, 0.557)

Values from the calculation:
Energy, eV/atom: -5.07
Total moment, μB per cell: 0.000
Calculated volume, Å³/atom: 38.6
Space group: C2/m

=====

[5]
AcTe3Pd after structural relaxation, computed with PBE.

abc: 5.357 5.357 5.357
angles: 90.00 90.00 90.00
Fractional coordinates of all 5 atoms:
Ac (0.000, 0.000, 0.000)
Te (0.000, 0.500, 0.500)
Te (0.500, 0.000, 0.500)
Te (0.500, 0.500, 0.000)
Pd (0.500, 0.500, 0.500)

Values from the calculation:
Energy relative to the elements, uncorrected, eV/atom: -0.71
Energy, eV/atom: -4.45
Total moment, μB per cell: 0.000
Calculated volume, Å³/atom: 30.7
Space group: Pm-3m

=====

[6]
Ac4TePd2 after structural relaxation, computed with PBE.

abc: 15.236 15.236 15.236
angles: 16.77 16.77 16.77
Fractional coordinates of all 7 atoms:
Ac (0.127, 0.127, 0.127)
Ac (0.282, 0.282, 0.282)
Ac (0.718, 0.718, 0.718)
Ac (0.873, 0.873, 0.873)
Te (0.000, 0.000, 0.000)
Pd (0.424, 0.424, 0.424)
Pd (0.576, 0.576, 0.576)

Values from the calculation:
Energy relative to the elements, uncorrected, eV/atom: -0.84
Energy, eV/atom: -5.12
Total moment, μB per cell: 0.000
Calculated volume, Å³/atom: 36.7
Space group: R-3m

=====

[7]
AcTePd after structural relaxation, computed with PBE.

abc: 4.679 4.679 4.361
angles: 90.00 90.00 120.00
Fractional coordinates of all 3 atoms:
Ac (0.000, 0.000, 0.000)
Te (0.333, 0.667, 0.500)
Pd (0.667, 0.333, 0.498)

Values from the calculation:
Energy relative to the elements, uncorrected, eV/atom: -1.13
Energy, eV/atom: -5.28
Total moment, μB per cell: 0.000
Calculated volume, Å³/atom: 27.6
Space group: P3m1
Excess energy over the best structure of this formula in the dataset, eV/atom: 0.000

=====

[8]
AcTePd2 after structural relaxation, computed with PBE.

abc: 4.704 4.704 4.341
angles: 90.00 90.00 90.00
Fractional coordinates of all 4 atoms:
Ac (0.000, 0.000, 0.000)
Te (0.500, 0.500, 0.000)
Pd (0.000, 0.500, 0.500)
Pd (0.500, 0.000, 0.500)

Values from the calculation:
Energy relative to the elements, uncorrected, eV/atom: -0.63
Energy, eV/atom: -5.04
Total moment, μB per cell: 0.000
Calculated volume, Å³/atom: 24.0
Space group: P4/mmm
Excess energy over the best structure of this formula in the dataset, eV/atom: 0.072